KNa2CoF8 after structural relaxation, computed with PBE with a Hubbard U.

Calculated density (Mg/m³): 2.99
Uncorrected energy (eV/atom): -4.09

a b c (Å): 4.620 5.269 7.152
angles (deg): 88.02 71.69 84.82
Element x y z (fractional)
K1 0.000 0.000 0.000
Na1 0.359 0.478 0.308
Na2 0.641 0.522 0.692
Co1 0.000 0.000 0.500
F1 0.126 0.253 0.613
F2 0.214 0.757 0.599
F3 0.289 0.494 0.996
F4 0.318 0.020 0.275
F5 0.682 0.980 0.725
F6 0.711 0.506 0.004
F7 0.786 0.243 0.401
F8 0.874 0.747 0.387